TbCdHgIr | PBE | relaxed

a b c (Å): 6.9495 6.9495 6.9495
angles (deg): 90.00 90.00 90.00
Space group F-43m (No. 216)
Symmetry-distinct sites (fractional):
Tb 0.0000 0.0000 0.0000 [4 per cell]
Cd 0.0000 0.0000 0.5000 [4 per cell]
Hg 0.2500 0.2500 0.7500 [4 per cell]
Ir 0.2500 0.2500 0.2500 [4 per cell]

Energy of formation from the pure elements = -250 meV per atom
Crystal system = cubic
Calculated total energy = -3.93 eV per atom